{
  "formula": "BaSnPt3",
  "functional": "PBE",
  "state": "relaxed",
  "cell": [[5.099, 0.000, 0.000], [0.000, 5.099, 0.000], [0.000, 0.000, 5.099]],
  "species": ["Pt", "Pt", "Pt", "Ba", "Sn"],
  "fractional_positions": [[0.000, 0.500, 0.000], [0.000, 0.000, 0.500], [0.500, 0.000, 0.000], [0.500, 0.500, 0.500], [0.000, 0.000, 0.000]],
  "polymorph_energy_ev_per_atom": 0.086,
  "formation_enthalpy_0k_ev_per_atom": -0.1520,
  "sg": "Pm-3m (221)",
  "total_magnetization_mub_per_atom": 0.000,
  "dos_ef_per_ev_fu": 3.4
}